Record 1
# TaSbCl

A relaxed structure of TaSbCl (PBE, the Alexandria database).

Geometry as CIF:
```
data_TaSbCl
_symmetry_space_group_name_H-M 'P -1'
_symmetry_Int_Tables_number 2
_symmetry_space_group_name_Hall '-P 1'
_cell_length_a 3.111
_cell_length_b 6.407
_cell_length_c 8.161
_cell_angle_alpha 112.26
_cell_angle_beta 100.81
_cell_angle_gamma 90.02
loop_
_atom_site_label
_atom_site_fract_x
_atom_site_fract_y
_atom_site_fract_z
Ta1 0.245 0.302 0.490
Sb1 0.408 0.724 0.820
Cl1 0.163 0.830 0.322
```

Energy above the lowest structure with this stoichiometry (eV/atom): 0.000


Record 2
# CdB2Sb

A relaxed structure of CdB2Sb (PBE, the Alexandria database).

Geometry as CIF:
```
data_CdB2Sb
_symmetry_space_group_name_H-M 'F m -3 m'
_symmetry_Int_Tables_number 225
_symmetry_space_group_name_Hall '-F 4 2 3'
_cell_length_a 6.337
_cell_length_b 6.337
_cell_length_c 6.337
_cell_angle_alpha 90.00
_cell_angle_beta 90.00
_cell_angle_gamma 90.00
loop_
_atom_site_label
_atom_site_fract_x
_atom_site_fract_y
_atom_site_fract_z
Cd1 0.000 0.000 0.000
B1 0.250 0.250 0.250
Sb1 0.000 0.000 0.500
```

Energy above the lowest structure with this stoichiometry (eV/atom): 0.509


Record 3
# ErTmGeTe

A relaxed structure of ErTmGeTe (PBE, the Alexandria database).

Geometry as CIF:
```
data_ErTmGeTe
_symmetry_space_group_name_H-M 'R 3 m'
_symmetry_Int_Tables_number 160
_symmetry_space_group_name_Hall 'R 3 -2"'
_cell_length_a 4.2019
_cell_length_b 4.2019
_cell_length_c 21.0460
_cell_angle_alpha 90.00
_cell_angle_beta 90.00
_cell_angle_gamma 120.00
loop_
_atom_site_label
_atom_site_fract_x
_atom_site_fract_y
_atom_site_fract_z
Er1 0.0000 0.0000 0.0000
Tm1 0.0000 0.0000 0.5214
Ge1 0.0000 0.0000 0.2604
Te1 0.0000 0.0000 0.7612
```

Uncorrected energy (eV/atom): -5.3456


Record 4
# Nd5Sm3Y

A relaxed structure of Nd5Sm3Y (PBE, the Alexandria database).

Geometry as CIF:
```
data_Nd5Sm3Y
_symmetry_space_group_name_H-M 'C 1 2/c 1'
_symmetry_Int_Tables_number 15
_symmetry_space_group_name_Hall '-C 2yc'
_cell_length_a 20.530
_cell_length_b 6.319
_cell_length_c 11.788
_cell_angle_alpha 90.00
_cell_angle_beta 122.82
_cell_angle_gamma 90.00
loop_
_atom_site_label
_atom_site_fract_x
_atom_site_fract_y
_atom_site_fract_z
Nd1 0.000 0.082 0.250
Nd2 0.139 0.177 0.654
Nd3 0.179 0.313 0.332
Sm1 0.000 0.500 0.000
Sm2 0.177 0.275 0.027
Y1 0.000 0.406 0.750
```

Energy above the lowest structure with this stoichiometry (eV/atom): 0.000


Record 5
# Ta2AsSe

A relaxed structure of Ta2AsSe (PBE, the Alexandria database).

Geometry as CIF:
```
data_Ta2AsSe
_symmetry_space_group_name_H-M 'I m m 2'
_symmetry_Int_Tables_number 44
_symmetry_space_group_name_Hall 'I 2 -2'
_cell_length_a 3.184
_cell_length_b 4.458
_cell_length_c 10.227
_cell_angle_alpha 90.00
_cell_angle_beta 90.00
_cell_angle_gamma 90.00
loop_
_atom_site_label
_atom_site_fract_x
_atom_site_fract_y
_atom_site_fract_z
Ta1 0.000 0.000 0.000
Ta2 0.000 0.500 0.209
As1 0.000 0.500 0.712
Se1 0.000 0.000 0.501
```

Energy above the lowest structure with this stoichiometry (eV/atom): 0.267


Record 6
# La2Y2In

A relaxed structure of La2Y2In (PBE, the Alexandria database).

Geometry as CIF:
```
data_La2Y2In
_symmetry_space_group_name_H-M 'P 4/m b m'
_symmetry_Int_Tables_number 127
_symmetry_space_group_name_Hall '-P 4 2ab'
_cell_length_a 8.226
_cell_length_b 8.226
_cell_length_c 4.954
_cell_angle_alpha 90.00
_cell_angle_beta 90.00
_cell_angle_gamma 90.00
loop_
_atom_site_label
_atom_site_fract_x
_atom_site_fract_y
_atom_site_fract_z
La1 0.155 0.345 0.000
Y1 0.149 0.649 0.500
In1 0.000 0.000 0.500
```

Energy above the lowest structure with this stoichiometry (eV/atom): 0.106


Record 7
# GdLuMgNi

A relaxed structure of GdLuMgNi (PBE, the Alexandria database).

Geometry as CIF:
```
data_GdLuMgNi
_symmetry_space_group_name_H-M 'F -4 3 m'
_symmetry_Int_Tables_number 216
_symmetry_space_group_name_Hall 'F -4 2 3'
_cell_length_a 7.100
_cell_length_b 7.100
_cell_length_c 7.100
_cell_angle_alpha 90.00
_cell_angle_beta 90.00
_cell_angle_gamma 90.00
loop_
_atom_site_label
_atom_site_fract_x
_atom_site_fract_y
_atom_site_fract_z
Gd1 0.000 0.000 0.000
Lu1 0.000 0.000 0.500
Mg1 0.250 0.250 0.750
Ni1 0.250 0.250 0.250
```

Uncorrected energy (eV/atom): -6.6138


Record 8
# ZrMoPt

A relaxed structure of ZrMoPt (PBE, the Alexandria database).

Geometry as CIF:
```
data_ZrMoPt
_symmetry_space_group_name_H-M 'P 1'
_symmetry_Int_Tables_number 1
_symmetry_space_group_name_Hall 'P 1'
_cell_length_a 2.884
_cell_length_b 5.399
_cell_length_c 7.226
_cell_angle_alpha 75.95
_cell_angle_beta 80.23
_cell_angle_gamma 79.92
loop_
_atom_site_label
_atom_site_fract_x
_atom_site_fract_y
_atom_site_fract_z
Zr1 0.000 0.000 0.000
Zr2 0.145 0.208 0.369
Mo1 0.311 0.463 0.681
Mo2 0.654 0.698 0.358
Pt1 0.599 0.499 0.023
Pt2 0.641 0.909 0.685
```

Energy above the lowest structure with this stoichiometry (eV/atom): 0.154


Record 9
# Pm2NdHo4Mg

A relaxed structure of Pm2NdHo4Mg (PBE, the Alexandria database).

Geometry as CIF:
```
data_Pm2NdHo4Mg
_symmetry_space_group_name_H-M 'P 4/m m m'
_symmetry_Int_Tables_number 123
_symmetry_space_group_name_Hall '-P 4 2'
_cell_length_a 4.978
_cell_length_b 4.978
_cell_length_c 10.173
_cell_angle_alpha 90.00
_cell_angle_beta 90.00
_cell_angle_gamma 90.00
loop_
_atom_site_label
_atom_site_fract_x
_atom_site_fract_y
_atom_site_fract_z
Pm1 0.000 0.000 0.000
Pm2 0.500 0.500 0.500
Nd1 0.000 0.000 0.500
Ho1 0.000 0.500 0.246
Mg1 0.500 0.500 0.000
```

Uncorrected energy (eV/atom): -4.2436


Record 10
# ReTcPt2

A relaxed structure of ReTcPt2 (PBE, the Alexandria database).

Geometry as CIF:
```
data_ReTcPt2
_symmetry_space_group_name_H-M 'R -3 m'
_symmetry_Int_Tables_number 166
_symmetry_space_group_name_Hall '-R 3 2"'
_cell_length_a 2.7683
_cell_length_b 2.7683
_cell_length_c 27.2335
_cell_angle_alpha 90.00
_cell_angle_beta 90.00
_cell_angle_gamma 120.00
loop_
_atom_site_label
_atom_site_fract_x
_atom_site_fract_y
_atom_site_fract_z
Re1 0.0000 0.0000 0.0000
Tc1 0.0000 0.0000 0.5000
Pt1 0.0000 0.0000 0.2501
```

Energy above the lowest structure with this stoichiometry (eV/atom): 0.141


Record 11
# TbDy9Tl2

A relaxed structure of TbDy9Tl2 (PBE, the Alexandria database).

Geometry as CIF:
```
data_TbDy9Tl2
_symmetry_space_group_name_H-M 'P 4/m m m'
_symmetry_Int_Tables_number 123
_symmetry_space_group_name_Hall '-P 4 2'
_cell_length_a 4.867
_cell_length_b 4.867
_cell_length_c 14.993
_cell_angle_alpha 90.00
_cell_angle_beta 90.00
_cell_angle_gamma 90.00
loop_
_atom_site_label
_atom_site_fract_x
_atom_site_fract_y
_atom_site_fract_z
Tb1 0.000 0.000 0.000
Dy1 0.000 0.500 0.172
Dy2 0.000 0.500 0.500
Dy3 0.500 0.500 0.000
Dy4 0.500 0.500 0.337
Tl1 0.000 0.000 0.340
```

Uncorrected energy (eV/atom): -4.3407


Record 12
# MnB3S

A relaxed structure of MnB3S (PBE, the Alexandria database).

Geometry as CIF:
```
data_MnB3S
_symmetry_space_group_name_H-M 'P m -3 m'
_symmetry_Int_Tables_number 221
_symmetry_space_group_name_Hall '-P 4 2 3'
_cell_length_a 3.728
_cell_length_b 3.728
_cell_length_c 3.728
_cell_angle_alpha 90.00
_cell_angle_beta 90.00
_cell_angle_gamma 90.00
loop_
_atom_site_label
_atom_site_fract_x
_atom_site_fract_y
_atom_site_fract_z
Mn1 0.000 0.000 0.000
B1 0.000 0.500 0.500
S1 0.500 0.500 0.500
```

Energy above the lowest structure with this stoichiometry (eV/atom): 0.447